Below is a relaxed structure of Tm5MgSe6, with properties calculated at the GGA-PBE level.

a = 6.9134 Å, b = 12.0818 Å, c = 6.9079 Å
α = 90.00°, β = 109.62°, γ = 90.00°
With the nearest neighbours (Å) after each atom.
Space group C2/m (No. 12)
Symmetry-distinct sites (fractional):
1 Tm 0.0000 0.0000 0.0000 [2 per cell]  6 Se 2.82-2.92
2 Tm 0.0000 0.1675 0.5000 [4 per cell]  6 Se 2.84-2.86
3 Tm 0.0000 0.3287 0.0000 [4 per cell]  6 Se 2.82-2.89
4 Mg 0.0000 0.5000 0.5000 [2 per cell]  6 Se 2.73
5 Se 0.2384 0.5000 0.2558 [4 per cell]  1 Mg 2.73, 5 Tm 2.86-2.92
6 Se 0.2412 0.3398 0.7429 [8 per cell]  1 Mg 2.73, 5 Tm 2.82-2.89

Output
As for the crystal system: monoclinic. The total energy comes out at -5.30 eV/atom. The uncorrected formation energy comes out at -1.562 eV per atom. The value obtained for the magnetization is 0.0 μB per formula unit. The calculation puts the density of states at the Fermi level at 0.395 states/eV/atom.

***

Below is a relaxed structure of ErSiNiRh, with properties calculated at the GGA-PBE level.

a = 4.2244 Å, b = 3.6922 Å, c = 9.1834 Å
α = 90.00°, β = 90.00°, γ = 90.00°
With the nearest neighbours (Å) after each atom.
Space group Amm2 (No. 38)
Symmetry-distinct sites (fractional):
1 Er 0.0000 0.0000 0.0000 [2 per cell]  3 Rh 2.56-2.74
2 Si 0.5000 0.0000 0.3882 [2 per cell]  2 Ni 2.33, 2 Rh 2.34
3 Ni 0.5000 0.0000 0.7332 [2 per cell]  2 Si 2.33
4 Rh 0.0000 0.0000 0.2792 [2 per cell]  2 Si 2.34, 1 Er 2.56

Output
As for the crystal system: orthorhombic. The total energy comes out at -6.27 eV/atom. The uncorrected formation energy comes out at -0.489 eV per atom. The value obtained for the magnetization is 0.0 μB per formula unit. The calculation puts the density of states at the Fermi level at 0.383 states/eV/atom.